{
  "formula": "PmErGaCu",
  "functional": "GGA-PBE",
  "state": "optimized geometry",
  "spacegroup": "F-43m (216)",
  "ef_ev_per_atom": -0.386,
  "lattice_angstrom": [[0.0000, 3.5704, 3.5704], [3.5704, 0.0000, 3.5704], [3.5704, 3.5704, 0.0000]],
  "species": ["Pm", "Er", "Ga", "Cu"],
  "frac_coords": [[0.0000, 0.0000, 0.0000], [0.5000, 0.5000, 0.5000], [0.7500, 0.7500, 0.7500], [0.2500, 0.2500, 0.2500]]
}

=====

{
  "formula": "Pm2ErGa2Cu2",
  "functional": "GGA-PBE",
  "state": "optimized geometry",
  "spacegroup": "R-3m (166)",
  "ef_ev_per_atom": -0.393,
  "lattice_angstrom": [[2.1923, 1.2657, 9.3492], [-2.1923, 1.2657, 9.3492], [0.0000, -2.5315, 9.3492]],
  "species": ["Pm", "Pm", "Er", "Ga", "Ga", "Cu", "Cu"],
  "frac_coords": [[0.1225, 0.1225, 0.1225], [0.8775, 0.8775, 0.8775], [0.0000, 0.0000, 0.0000], [0.2695, 0.2695, 0.2695], [0.7305, 0.7305, 0.7305], [0.3905, 0.3905, 0.3905], [0.6095, 0.6095, 0.6095]]
}